No. 1
# Mg2CrRu | Alexandria | PBEsol | optimized geometry
# **Formation energy from the elements**: 0.367 eV/atom
# **E above lowest polymorph**: 0.0 meV per atom
# **Spin magnetization**: 3.048 μB/f.u.
# **Density of states at the Fermi level**: 4.154 states/eV per cell
# **Mass density**: 5.36 g/cm3
data_Mg2CrRu
_cell_length_a 4.9989
_cell_length_b 4.9989
_cell_length_c 4.9989
_cell_angle_alpha 134.57
_cell_angle_beta 134.57
_cell_angle_gamma 66.20
_space_group_name_H-M_alt 'P 1'
_space_group_IT_number 1
loop_
_space_group_symop_operation_xyz
'x,y,z'
loop_
_atom_site_label
_atom_site_type_symbol
_atom_site_fract_x
_atom_site_fract_y
_atom_site_fract_z
Mg1 Mg 0.2500 0.7500 0.5000
Mg2 Mg 0.7500 0.2500 0.5000
Cr1 Cr 0.0000 0.0000 0.0000
Ru1 Ru 0.5000 0.5000 0.0000



No. 2
# Hf2BrN | Alexandria | PBEsol | optimized geometry
# **ΔE_f (raw)**: -0.659 eV per atom
# **E above lowest polymorph**: 0.0 meV per atom
# **Spin magnetization**: 0.000 μB/f.u.
# **Density of states at the Fermi level**: 5.250 states/eV per cell
# **Mass density**: 9.37 g/cm3
data_Hf2BrN
_cell_length_a 6.6114
_cell_length_b 6.6114
_cell_length_c 6.6114
_cell_angle_alpha 131.27
_cell_angle_beta 131.27
_cell_angle_gamma 71.39
_space_group_name_H-M_alt 'P 1'
_space_group_IT_number 1
loop_
_space_group_symop_operation_xyz
'x,y,z'
loop_
_atom_site_label
_atom_site_type_symbol
_atom_site_fract_x
_atom_site_fract_y
_atom_site_fract_z
Hf1 Hf 0.0240 0.6250 0.8990
Hf2 Hf 0.3750 0.2740 0.3990
Hf3 Hf 0.7260 0.1250 0.1010
Hf4 Hf 0.8750 0.9760 0.6010
Br1 Br 0.2500 0.7500 0.5000
Br2 Br 0.5000 0.5000 0.0000
N1 N 0.0000 0.0000 0.0000
N2 N 0.7500 0.2500 0.5000



No. 3
# CaPd2Au | Alexandria | PBEsol | optimized geometry
# **Formation energy from the elements**: -0.496 eV/atom
# **Spin magnetization**: 0.000 μB/f.u.
# **Density of states at the Fermi level**: 0.954 states/eV per cell
# **Mass density**: 10.75 g/cm3
data_CaPd2Au
_cell_length_a 4.6154
_cell_length_b 4.6154
_cell_length_c 4.6154
_cell_angle_alpha 60.00
_cell_angle_beta 60.00
_cell_angle_gamma 60.00
_space_group_name_H-M_alt 'P 1'
_space_group_IT_number 1
loop_
_space_group_symop_operation_xyz
'x,y,z'
loop_
_atom_site_label
_atom_site_type_symbol
_atom_site_fract_x
_atom_site_fract_y
_atom_site_fract_z
Ca1 Ca 0.0000 0.0000 0.0000
Pd1 Pd 0.2500 0.2500 0.2500
Pd2 Pd 0.7500 0.7500 0.7500
Au1 Au 0.5000 0.5000 0.5000



No. 4
# KNdF4 | Alexandria | PBEsol | optimized geometry
# **ΔE_f (raw)**: -3.727 eV per atom
# **Spin magnetization**: 0.075 μB/f.u.
# **Density of states at the Fermi level**: 0.000 states/eV per cell
# **Mass density**: 4.85 g/cm3
data_KNdF4
_cell_length_a 6.1764
_cell_length_b 3.7136
_cell_length_c 15.4965
_cell_angle_alpha 90.00
_cell_angle_beta 90.00
_cell_angle_gamma 90.00
_space_group_name_H-M_alt 'P 1'
_space_group_IT_number 1
loop_
_space_group_symop_operation_xyz
'x,y,z'
loop_
_atom_site_label
_atom_site_type_symbol
_atom_site_fract_x
_atom_site_fract_y
_atom_site_fract_z
K1 K 0.2197 0.2500 0.2031
K2 K 0.2803 0.7500 0.7031
K3 K 0.7197 0.2500 0.2969
K4 K 0.7803 0.7500 0.7969
Nd1 Nd 0.2482 0.7500 0.4396
Nd2 Nd 0.2518 0.2500 0.9396
Nd3 Nd 0.7482 0.7500 0.0604
Nd4 Nd 0.7518 0.2500 0.5604
F1 F 0.0051 0.2500 0.0587
F2 F 0.0922 0.2500 0.8066
F3 F 0.1014 0.2500 0.3658
F4 F 0.1364 0.2500 0.5362
F5 F 0.3636 0.7500 0.0362
F6 F 0.3986 0.7500 0.8658
F7 F 0.4078 0.7500 0.3066
F8 F 0.4949 0.7500 0.5587
F9 F 0.5051 0.2500 0.4413
F10 F 0.5922 0.2500 0.6934
F11 F 0.6014 0.2500 0.1342
F12 F 0.6364 0.2500 0.9638
F13 F 0.8636 0.7500 0.4638
F14 F 0.8986 0.7500 0.6342
F15 F 0.9078 0.7500 0.1934
F16 F 0.9949 0.7500 0.9413